1.
# HfCoO2F

A geometry-optimized HfCoO2F structure (GGA-PBEsol, Alexandria).

total energy = -7.9683 eV per atom
E_form (uncorrected) = -1.835 eV/atom
space group = P4/mmm (123)

a = 4.0494 Å, b = 4.0494 Å, c = 4.0303 Å
α = 90.00°, β = 90.00°, γ = 90.00°
Each line ends with the local moment (μB).
Sites, in units of the cell vectors:
O 0.0000 0.5000 0.0000  0.04
O 0.5000 0.0000 0.0000  0.04
Co 0.5000 0.5000 0.5000  2.10
F 0.0000 0.0000 0.5000  0.00
Hf 0.0000 0.0000 0.0000  -0.02

2.
# CoSbRu2Br

A geometry-optimized CoSbRu2Br structure (GGA-PBEsol, Alexandria).

total energy = -5.6196 eV per atom
E_form (uncorrected) = 1.282 eV/atom
space group = P4/mmm (123)

a = 4.2233 Å, b = 4.6021 Å, c = 4.6021 Å
α = 90.00°, β = 90.00°, γ = 90.00°
Each line ends with the local moment (μB).
Sites, in units of the cell vectors:
Sb 0.5000 0.5000 0.5000  0.01
Br 0.0000 0.0000 0.0000  0.03
Ru 0.0000 0.0000 0.5000  0.77
Ru 0.0000 0.5000 0.0000  0.77
Co 0.5000 0.0000 0.0000  1.00